Entry 1:
# LiTmCuSi

An optimized crystal structure of LiTmCuSi (PBE, the Alexandria database).

Properties
* total magnetization: 0.000 μB/atom
* ρ: 6.4 g cm⁻³

Unit cell a=4.609 b=4.609 c=4.609 alpha=60.00 beta=60.00 gamma=60.00
Positions (direct):
Si (0.250, 0.250, 0.250)
Tm (0.000, 0.000, 0.000)
Cu (0.750, 0.750, 0.750)
Li (0.500, 0.500, 0.500)


Entry 2:
# LiTmCuSi

An optimized crystal structure of LiTmCuSi (PBE, the Alexandria database).

Properties
* total magnetization: 0.000 μB/atom
* ρ: 7.2 g cm⁻³

Unit cell a=4.439 b=4.439 c=4.439 alpha=60.00 beta=60.00 gamma=60.00
Positions (direct):
Si (0.750, 0.750, 0.750)
Tm (0.250, 0.250, 0.250)
Cu (0.500, 0.500, 0.500)
Li (0.000, 0.000, 0.000)


no.,energy (eV/atom),energy relative to the lowest polymorph listed for this composition (meV per atom),density of states at the Fermi level (states/eV per cell)
1,-4.282,0,2.0
2,-4.273,9,1.9